The following is a DFT calculation (PBE) of a relaxed structure of YInAg. Values from VASP.

Geometry as Quantum ESPRESSO input:
```
&SYSTEM
  ibrav = 0, nat = 3, ntyp = 3
/
ATOMIC_SPECIES
Ag 107.87 Ag.upf
In 114.82 In.upf
Y 88.91 Y.upf
CELL_PARAMETERS angstrom
-1.694 4.412 1.540
-2.743 0.304 4.135
1.892 2.100 4.089
ATOMIC_POSITIONS crystal
Ag 0.000 0.000 0.000
In 0.500 0.500 0.500
Y 0.750 0.750 0.750
```

Values from the calculation:
The density of states at the Fermi level comes out at 1.14 states/eV/atom. As for the volume: 28.9 Å³/atom. For the formation energy, the calculation gives 0.133 eV/atom. Its space group is F-43m, No. 216. The value obtained for the total magnetic moment is 0.00 μB per formula unit.


The following is a DFT calculation (PBE) of a relaxed structure of Ca2BeSe. Values from VASP.

Geometry as Quantum ESPRESSO input:
```
&SYSTEM
  ibrav = 0, nat = 4, ntyp = 3
/
ATOMIC_SPECIES
Be 9.01 Be.upf
Ca 40.08 Ca.upf
Se 78.96 Se.upf
CELL_PARAMETERS angstrom
4.072 -0.001 0.003
2.042 3.523 0.003
2.024 1.166 7.483
ATOMIC_POSITIONS crystal
Be 0.250 0.250 0.250
Ca 0.005 0.005 0.985
Ca 0.495 0.495 0.515
Se 0.750 0.750 0.750
```

Values from the calculation:
The density of states at the Fermi level comes out at 0.53 states/eV/atom. As for the volume: 26.8 Å³/atom. Its uncorrected formation energy is -0.554 eV/atom. Its space group is R-3m, No. 166. The value obtained for the total magnetic moment is 0.94 μB per formula unit. As for the relative energy among the computed polymorphs: 38.8 meV per atom.


The following is a DFT calculation (PBE) of a relaxed structure of Ni2Ge2Te. Values from VASP.

Geometry as Quantum ESPRESSO input:
```
&SYSTEM
  ibrav = 0, nat = 10, ntyp = 3
/
ATOMIC_SPECIES
Ni 58.69 Ni.upf
Ge 72.64 Ge.upf
Te 127.60 Te.upf
CELL_PARAMETERS angstrom
-4.618 1.147 5.608
-5.478 -2.977 -3.902
0.683 -2.724 1.120
ATOMIC_POSITIONS crystal
Ni 0.364 0.864 0.000
Ni 0.864 0.636 0.000
Ni 0.636 0.136 0.000
Ni 0.136 0.364 0.000
Ge 0.141 0.641 0.500
Ge 0.641 0.859 0.500
Ge 0.859 0.359 0.500
Ge 0.359 0.141 0.500
Te 0.000 0.000 0.000
Te 0.500 0.500 0.000
```

Values from the calculation:
The density of states at the Fermi level comes out at 0.45 states/eV/atom. As for the volume: 16.4 Å³/atom. Its uncorrected formation energy is 0.055 eV/atom. Its space group is P4/mbm, No. 127. The value obtained for the total magnetic moment is 0.00 μB per formula unit. As for the relative energy among the computed polymorphs: 45.5 meV per atom.


The following is a DFT calculation (PBE) of a relaxed structure of Li2HoPd2. Values from VASP.

Geometry as Quantum ESPRESSO input:
```
&SYSTEM
  ibrav = 0, nat = 5, ntyp = 3
/
ATOMIC_SPECIES
Li 6.94 Li.upf
Ho 164.93 Ho.upf
Pd 106.42 Pd.upf
CELL_PARAMETERS angstrom
4.724 0.000 0.000
-2.362 4.091 0.000
0.000 0.000 5.234
ATOMIC_POSITIONS crystal
Li 0.333 0.667 0.630
Li 0.667 0.333 0.370
Ho 0.000 0.000 0.000
Pd 0.333 0.667 0.134
Pd 0.667 0.333 0.866
```

Values from the calculation:
The density of states at the Fermi level comes out at 0.57 states/eV/atom. As for the volume: 20.2 Å³/atom. For the formation energy, the calculation gives -0.460 eV/atom. Its space group is P-3m1, No. 164. The value obtained for the total magnetic moment is 0.00 μB per formula unit.


The following is a DFT calculation (PBE) of a relaxed structure of CeZnIn2. Values from VASP.

Geometry as Quantum ESPRESSO input:
```
&SYSTEM
  ibrav = 0, nat = 8, ntyp = 3
/
ATOMIC_SPECIES
Ce 140.12 Ce.upf
Zn 65.41 Zn.upf
In 114.82 In.upf
CELL_PARAMETERS angstrom
-0.795 4.621 0.493
-4.535 -0.662 -1.109
-1.885 -1.225 8.441
ATOMIC_POSITIONS crystal
Ce 0.000 0.500 0.219
Ce 0.500 0.000 0.781
Zn 0.000 0.000 0.000
Zn 0.500 0.500 0.000
In 0.000 0.000 0.500
In 0.500 0.500 0.500
In 0.000 0.500 0.792
In 0.500 0.000 0.208
```

Values from the calculation:
The density of states at the Fermi level comes out at 1.67 states/eV/atom. As for the volume: 24.3 Å³/atom. For the formation energy, the calculation gives -0.260 eV/atom. Its space group is P4/nmm, No. 129. The value obtained for the total magnetic moment is 0.76 μB per formula unit.


The following is a DFT calculation (PBE) of a relaxed structure of TbPaCoIr. Values from VASP.

Geometry as Quantum ESPRESSO input:
```
&SYSTEM
  ibrav = 0, nat = 4, ntyp = 4
/
ATOMIC_SPECIES
Tb 158.93 Tb.upf
Pa 231.04 Pa.upf
Co 58.93 Co.upf
Ir 192.22 Ir.upf
CELL_PARAMETERS angstrom
-3.389 0.919 -0.992
-0.604 -3.883 -1.533
-0.156 -2.077 5.322
ATOMIC_POSITIONS crystal
Tb 0.858 0.500 0.716
Pa 0.121 0.000 0.242
Co 0.430 0.000 0.861
Ir 0.591 0.500 0.182
```

Values from the calculation:
The density of states at the Fermi level comes out at 0.93 states/eV/atom. As for the volume: 20.8 Å³/atom. For the formation energy, the calculation gives -0.572 eV/atom. Its space group is Amm2, No. 38. The value obtained for the total magnetic moment is 0.00 μB per formula unit. As for the relative energy among the computed polymorphs: 0.0 meV per atom.


The following is a DFT calculation (PBE) of a relaxed structure of Nd2Dy2ErSc. Values from VASP.

Geometry as Quantum ESPRESSO input:
```
&SYSTEM
  ibrav = 0, nat = 12, ntyp = 4
/
ATOMIC_SPECIES
Nd 144.24 Nd.upf
Dy 162.50 Dy.upf
Er 167.26 Er.upf
Sc 44.96 Sc.upf
CELL_PARAMETERS angstrom
-5.333 -1.228 -1.164
1.875 -6.344 -1.894
-1.275 -3.093 9.100
ATOMIC_POSITIONS crystal
Nd 0.500 0.008 0.000
Nd 0.000 0.258 0.185
Nd 0.500 0.508 0.000
Nd 0.000 0.758 0.815
Dy 0.000 0.258 0.835
Dy 0.500 0.258 0.333
Dy 0.000 0.758 0.165
Dy 0.500 0.758 0.667
Er 0.500 0.258 0.653
Er 0.500 0.758 0.347
Sc 0.000 0.008 0.500
Sc 0.000 0.508 0.500
```

Values from the calculation:
The density of states at the Fermi level comes out at 1.55 states/eV/atom. As for the volume: 31.1 Å³/atom. For the formation energy, the calculation gives 0.097 eV/atom. Its space group is Pmma, No. 51. The value obtained for the total magnetic moment is 0.00 μB per formula unit.


The following is a DFT calculation (PBE) of a relaxed structure of YCd3Ni8. Values from VASP.

Geometry as Quantum ESPRESSO input:
```
&SYSTEM
  ibrav = 0, nat = 12, ntyp = 3
/
ATOMIC_SPECIES
Y 88.91 Y.upf
Cd 112.41 Cd.upf
Ni 58.69 Ni.upf
CELL_PARAMETERS angstrom
-4.208 -2.526 -0.611
0.112 -4.573 -1.879
-0.622 -5.405 6.610
ATOMIC_POSITIONS crystal
Y 0.876 0.876 0.372
Cd 0.374 0.374 0.878
Cd 0.003 0.003 0.991
Cd 0.496 0.496 0.512
Ni 0.939 0.438 0.185
Ni 0.435 0.938 0.689
Ni 0.438 0.438 0.185
Ni 0.938 0.938 0.689
Ni 0.187 0.187 0.438
Ni 0.688 0.688 0.937
Ni 0.438 0.939 0.185
Ni 0.938 0.435 0.689
```

Values from the calculation:
The density of states at the Fermi level comes out at 1.41 states/eV/atom. As for the volume: 14.2 Å³/atom. For the formation energy, the calculation gives -0.142 eV/atom. Its space group is R3m, No. 160. The value obtained for the total magnetic moment is 1.02 μB per formula unit.


The following is a DFT calculation (PBE) of a relaxed structure of Cu2AsPd5. Values from VASP.

Geometry as Quantum ESPRESSO input:
```
&SYSTEM
  ibrav = 0, nat = 16, ntyp = 3
/
ATOMIC_SPECIES
Cu 63.55 Cu.upf
As 74.92 As.upf
Pd 106.42 Pd.upf
CELL_PARAMETERS angstrom
-1.601 -5.588 -2.379
4.333 -2.774 3.601
-5.470 3.483 3.789
ATOMIC_POSITIONS crystal
Cu 0.132 0.368 0.000
Cu 0.632 0.132 0.000
Cu 0.368 0.868 0.000
Cu 0.868 0.632 0.000
As 0.750 0.750 0.500
As 0.250 0.250 0.500
Pd 0.506 0.682 0.688
Pd 0.818 0.994 0.312
Pd 0.000 0.000 0.000
Pd 0.500 0.500 0.000
Pd 0.182 0.006 0.688
Pd 0.682 0.182 0.688
Pd 0.006 0.506 0.688
Pd 0.318 0.818 0.312
Pd 0.994 0.494 0.312
Pd 0.494 0.318 0.312
```

Values from the calculation:
The density of states at the Fermi level comes out at 0.46 states/eV/atom. As for the volume: 14.9 Å³/atom. For the formation energy, the calculation gives -0.148 eV/atom. Its space group is I4/mcm, No. 140. The value obtained for the total magnetic moment is 0.00 μB per formula unit. As for the relative energy among the computed polymorphs: 0.0 meV per atom.


The following is a DFT calculation (PBE) of a relaxed structure of ReAgAu2. Values from VASP.

Geometry as Quantum ESPRESSO input:
```
&SYSTEM
  ibrav = 0, nat = 4, ntyp = 3
/
ATOMIC_SPECIES
Re 186.21 Re.upf
Au 196.97 Au.upf
Ag 107.87 Ag.upf
CELL_PARAMETERS angstrom
2.771 -0.234 0.000
-1.075 2.564 0.000
0.000 0.000 10.047
ATOMIC_POSITIONS crystal
Re 0.000 0.000 0.500
Au 0.000 0.000 0.998
Au 0.500 0.500 0.257
Ag 0.500 0.500 0.745
```

Values from the calculation:
The density of states at the Fermi level comes out at 0.52 states/eV/atom. As for the volume: 17.2 Å³/atom. For the formation energy, the calculation gives 0.397 eV/atom. Its space group is Cmm2, No. 35. The value obtained for the total magnetic moment is 0.00 μB per formula unit. As for the relative energy among the computed polymorphs: 65.2 meV per atom.


The following is a DFT calculation (PBE) of a relaxed structure of BaSn. Values from VASP.

Geometry as Quantum ESPRESSO input:
```
&SYSTEM
  ibrav = 0, nat = 16, ntyp = 2
/
ATOMIC_SPECIES
Ba 137.33 Ba.upf
Sn 118.71 Sn.upf
CELL_PARAMETERS angstrom
12.811 0.000 0.000
0.000 12.811 0.000
0.000 0.000 4.657
ATOMIC_POSITIONS crystal
Ba 0.773 0.500 0.000
Ba 0.227 0.500 0.000
Ba 0.500 0.227 0.000
Ba 0.500 0.773 0.000
Ba 0.273 0.000 0.500
Ba 0.727 0.000 0.500
Ba 0.000 0.727 0.500
Ba 0.000 0.273 0.500
Sn 0.200 0.200 0.000
Sn 0.200 0.800 0.000
Sn 0.800 0.200 0.000
Sn 0.800 0.800 0.000
Sn 0.700 0.700 0.500
Sn 0.700 0.300 0.500
Sn 0.300 0.700 0.500
Sn 0.300 0.300 0.500
```

Values from the calculation:
The density of states at the Fermi level comes out at 0.78 states/eV/atom. As for the volume: 47.8 Å³/atom. For the formation energy, the calculation gives -0.506 eV/atom. Its space group is I4/mmm, No. 139. The value obtained for the total magnetic moment is 0.23 μB per formula unit.


The following is a DFT calculation (PBE) of a relaxed structure of Er2FeSi4. Values from VASP.

Geometry as Quantum ESPRESSO input:
```
&SYSTEM
  ibrav = 0, nat = 7, ntyp = 3
/
ATOMIC_SPECIES
Er 167.26 Er.upf
Fe 55.84 Fe.upf
Si 28.09 Si.upf
CELL_PARAMETERS angstrom
-1.465 7.100 2.763
1.167 -4.705 -6.058
-3.898 -0.734 -0.181
ATOMIC_POSITIONS crystal
Er 0.103 0.897 0.000
Er 0.900 0.100 0.500
Fe 0.306 0.694 0.000
Si 0.457 0.543 0.000
Si 0.564 0.436 0.500
Si 0.743 0.257 0.000
Si 0.243 0.757 0.500
```

Values from the calculation:
The density of states at the Fermi level comes out at 0.46 states/eV/atom. As for the volume: 17.3 Å³/atom. Its uncorrected formation energy is -0.615 eV/atom. Its space group is Amm2, No. 38. The value obtained for the total magnetic moment is 0.00 μB per formula unit. As for the relative energy among the computed polymorphs: 0.0 meV per atom.